The following is a DFT calculation (PBE-GGA) of a relaxed Th2TcN4 crystal.

Unit cell a=5.4902 b=5.6364 c=6.8637 alpha=90.00 beta=113.57 gamma=90.00
Atoms (fractional coordinates):
1 Th 0.6422 0.0154 0.2845
2 Th 0.3578 0.9846 0.7155
3 Th 0.8578 0.5154 0.7155
4 Th 0.1422 0.4846 0.2845
5 Tc 0.0000 0.0000 0.0000
6 Tc 0.5000 0.5000 0.0000
7 N 0.8229 0.9499 0.6459
8 N 0.1771 0.0501 0.3541
9 N 0.6771 0.4499 0.3541
10 N 0.3229 0.5501 0.6459
11 N 0.7369 0.2500 0.9738
12 N 0.7631 0.7500 0.0262
13 N 0.2369 0.2500 0.9738
14 N 0.2631 0.7500 0.0262

Values from the calculation:
Its formation energy from raw total energies is -1137 meV/atom.